DFT (GGA-PBE) results for crystalline LaCuSiB2 at its relaxed geometry.

Geometry as POSCAR:
```
LaCuSiB2
1.0
4.171 0.000 0.000
0.000 4.433 0.000
0.000 0.000 4.171
La B Si Cu
1 2 1 1
Cartesian
2.086 2.217 2.086
0.000 0.000 2.086
2.086 0.000 0.000
0.000 0.000 0.000
0.000 2.217 0.000
```

Properties
* space group: P4/mmm (123)
* total magnetic moment: 0.00 μB/cell
* DOS at the Fermi energy: 2.54 states/eV/cell
* formation energy (no corrections): 0.49 eV per atom

=====

DFT (GGA-PBE) results for crystalline Ba2Re2NiN6 at its relaxed geometry.

Geometry as POSCAR:
```
Ba2Re2NiN6
1.0
-0.812 3.563 4.737
0.979 -2.092 5.519
5.762 2.249 3.073
N Re Ba Ni
6 2 2 1
Cartesian
0.818 2.648 5.704
4.616 2.130 4.835
1.313 1.590 8.494
5.111 1.073 7.624
1.723 -0.211 6.100
4.206 3.931 7.229
4.229 2.250 6.588
1.700 1.470 6.741
1.726 1.005 3.317
4.202 2.715 10.011
0.000 0.000 0.000
```

Properties
* space group: R-3m (166)
* total magnetic moment: 2.00 μB/cell
* formation energy (no corrections): -0.23 eV per atom

=====

DFT (GGA-PBE) results for crystalline PrSmTlRh at its relaxed geometry.

Geometry as POSCAR:
```
PrSmTlRh
1.0
-3.462 -0.818 3.887
-4.683 -2.171 -1.057
-1.050 -4.908 1.604
Tl Rh Pr Sm
1 1 1 1
Cartesian
0.000 0.000 0.000
-4.598 -3.949 2.217
-2.299 -1.974 1.108
-6.897 -5.923 3.325
```

Properties
* space group: F-43m (216)
* total magnetic moment: 0.00 μB/cell
* energy: -5.1952 eV/atom
* DOS at the Fermi energy: 3.49 states/eV/cell